VASP calculation (PBE) on a geometry-optimized PmPuAlCd structure.

Cell: 5.2948 5.2948 5.2948 Å, 60.00 60.00 60.00°
Fractional coordinates of all 4 atoms:
Cd 0.7500 0.7500 0.7500
Pm 0.0000 0.0000 0.0000
Al 0.2500 0.2500 0.2500
Pu 0.5000 0.5000 0.5000

Properties
The total moment comes out at 1.582 μB per atom. For the calculated formation energy, the calculation gives -3.12 kcal/mol of atoms.